No. 1
# NbCu3P | the Alexandria database | PBE-GGA | relaxed
# E_form	0.528	eV per atom
# DFT total energy	-5.03	eV per atom
# relative energy among the computed polymorphs	0.000	eV/atom
# crystal system	cubic
data_NbCu3P
_cell_length_a 4.254
_cell_length_b 4.254
_cell_length_c 4.254
_cell_angle_alpha 90.00
_cell_angle_beta 90.00
_cell_angle_gamma 90.00
_space_group_name_H-M_alt 'P m -3 m'
_space_group_IT_number 221
_space_group_name_Hall '-P 4 2 3'
loop_
_atom_site_label
_atom_site_fract_x
_atom_site_fract_y
_atom_site_fract_z
Nb1 0.000 0.000 0.000
Cu1 0.000 0.500 0.500
P1 0.500 0.500 0.500


No. 2
# Nb2CuP2 | the Alexandria database | PBE-GGA | relaxed
# E_form	-0.535	eV per atom
# DFT total energy	-7.55	eV per atom
# crystal system	tetragonal
data_Nb2CuP2
_cell_length_a 6.734
_cell_length_b 6.734
_cell_length_c 3.301
_cell_angle_alpha 90.00
_cell_angle_beta 90.00
_cell_angle_gamma 90.00
_space_group_name_H-M_alt 'P 4/m b m'
_space_group_IT_number 127
_space_group_name_Hall '-P 4 2ab'
loop_
_atom_site_label
_atom_site_fract_x
_atom_site_fract_y
_atom_site_fract_z
Nb1 0.151 0.349 0.000
Cu1 0.000 0.000 0.500
P1 0.145 0.645 0.500


No. 3
# NbCu2P2 | the Alexandria database | PBE-GGA | relaxed
# E_form	-0.132	eV per atom
# DFT total energy	-5.95	eV per atom
# crystal system	tetragonal
data_NbCu2P2
_cell_length_a 6.581
_cell_length_b 6.581
_cell_length_c 3.266
_cell_angle_alpha 90.00
_cell_angle_beta 90.00
_cell_angle_gamma 90.00
_space_group_name_H-M_alt 'P 4/m b m'
_space_group_IT_number 127
_space_group_name_Hall '-P 4 2ab'
loop_
_atom_site_label
_atom_site_fract_x
_atom_site_fract_y
_atom_site_fract_z
Nb1 0.000 0.000 0.000
Cu1 0.141 0.359 0.500
P1 0.154 0.654 0.000


No. 4
# NbCuP2 | the Alexandria database | PBE-GGA | relaxed
# E_form	0.016	eV per atom
# DFT total energy	-6.23	eV per atom
# crystal system	cubic
data_NbCuP2
_cell_length_a 6.154
_cell_length_b 6.154
_cell_length_c 6.154
_cell_angle_alpha 90.00
_cell_angle_beta 90.00
_cell_angle_gamma 90.00
_space_group_name_H-M_alt 'F m -3 m'
_space_group_IT_number 225
_space_group_name_Hall '-F 4 2 3'
loop_
_atom_site_label
_atom_site_fract_x
_atom_site_fract_y
_atom_site_fract_z
Nb1 0.000 0.000 0.000
Cu1 0.000 0.000 0.500
P1 0.250 0.250 0.250


No. 5
# NbCu3P | the Alexandria database | PBE-GGA | relaxed
# E_form	1.758	eV per atom
# DFT total energy	-3.80	eV per atom
# relative energy among the computed polymorphs	1.230	eV/atom
# crystal system	cubic
data_NbCu3P
_cell_length_a 4.738
_cell_length_b 4.738
_cell_length_c 4.738
_cell_angle_alpha 90.00
_cell_angle_beta 90.00
_cell_angle_gamma 90.00
_space_group_name_H-M_alt 'P m -3 m'
_space_group_IT_number 221
_space_group_name_Hall '-P 4 2 3'
loop_
_atom_site_label
_atom_site_fract_x
_atom_site_fract_y
_atom_site_fract_z
Nb1 0.000 0.000 0.000
Cu1 0.000 0.000 0.500
P1 0.500 0.500 0.500


No. 6
# Nb2CuPS | the Alexandria database | PBE-GGA | relaxed
# DFT total energy	-6.42	eV per atom
# formation energy (no corrections)	1.67	eV per formula unit
# crystal system	tetragonal
data_Nb2CuPS
_cell_length_a 4.749
_cell_length_b 4.749
_cell_length_c 4.032
_cell_angle_alpha 90.00
_cell_angle_beta 90.00
_cell_angle_gamma 90.00
_space_group_name_H-M_alt 'P 4/m m m'
_space_group_IT_number 123
_space_group_name_Hall '-P 4 2'
loop_
_atom_site_label
_atom_site_fract_x
_atom_site_fract_y
_atom_site_fract_z
Nb1 0.000 0.500 0.000
Cu1 0.000 0.000 0.500
P1 0.000 0.000 0.000
S1 0.500 0.500 0.500


No. 7
# NbCu2TcP | the Alexandria database | PBE-GGA | relaxed
# E_form	0.516	eV per atom
# DFT total energy	-6.29	eV per atom
# crystal system	tetragonal
data_NbCu2TcP
_cell_length_a 4.203
_cell_length_b 4.203
_cell_length_c 4.500
_cell_angle_alpha 90.00
_cell_angle_beta 90.00
_cell_angle_gamma 90.00
_space_group_name_H-M_alt 'P 4/m m m'
_space_group_IT_number 123
_space_group_name_Hall '-P 4 2'
loop_
_atom_site_label
_atom_site_fract_x
_atom_site_fract_y
_atom_site_fract_z
Nb1 0.000 0.000 0.000
Cu1 0.000 0.500 0.500
Tc1 0.500 0.500 0.000
P1 0.500 0.500 0.500


No. 8
# Nb2CuTcP | the Alexandria database | PBE-GGA | relaxed
# E_form	1.049	eV per atom
# DFT total energy	-6.95	eV per atom
# crystal system	tetragonal
data_Nb2CuTcP
_cell_length_a 4.746
_cell_length_b 4.746
_cell_length_c 3.913
_cell_angle_alpha 90.00
_cell_angle_beta 90.00
_cell_angle_gamma 90.00
_space_group_name_H-M_alt 'P 4/m m m'
_space_group_IT_number 123
_space_group_name_Hall '-P 4 2'
loop_
_atom_site_label
_atom_site_fract_x
_atom_site_fract_y
_atom_site_fract_z
Nb1 0.000 0.500 0.000
Cu1 0.000 0.000 0.000
Tc1 0.500 0.500 0.500
P1 0.000 0.000 0.500


No. 9
# Ti2NbCuP | the Alexandria database | PBE-GGA | relaxed
# E_form	1.256	eV per atom
# DFT total energy	-5.82	eV per atom
# crystal system	tetragonal
data_Ti2NbCuP
_cell_length_a 4.720
_cell_length_b 4.720
_cell_length_c 4.701
_cell_angle_alpha 90.00
_cell_angle_beta 90.00
_cell_angle_gamma 90.00
_space_group_name_H-M_alt 'P 4/m m m'
_space_group_IT_number 123
_space_group_name_Hall '-P 4 2'
loop_
_atom_site_label
_atom_site_fract_x
_atom_site_fract_y
_atom_site_fract_z
Ti1 0.000 0.500 0.000
Nb1 0.000 0.000 0.000
Cu1 0.000 0.000 0.500
P1 0.500 0.500 0.500


No. 10
# YNb2CuP | the Alexandria database | PBE-GGA | relaxed
# E_form	1.941	eV per atom
# DFT total energy	-5.28	eV per atom
# crystal system	tetragonal
data_YNb2CuP
_cell_length_a 5.003
_cell_length_b 5.003
_cell_length_c 5.013
_cell_angle_alpha 90.00
_cell_angle_beta 90.00
_cell_angle_gamma 90.00
_space_group_name_H-M_alt 'P 4/m m m'
_space_group_IT_number 123
_space_group_name_Hall '-P 4 2'
loop_
_atom_site_label
_atom_site_fract_x
_atom_site_fract_y
_atom_site_fract_z
Y1 0.000 0.000 0.000
Nb1 0.000 0.500 0.000
Cu1 0.500 0.500 0.500
P1 0.000 0.000 0.500


No. 11
# ZrNbCuP2 | the Alexandria database | PBE-GGA | relaxed
# E_form	0.740	eV per atom
# DFT total energy	-5.97	eV per atom
# crystal system	tetragonal
data_ZrNbCuP2
_cell_length_a 4.722
_cell_length_b 4.722
_cell_length_c 5.219
_cell_angle_alpha 90.00
_cell_angle_beta 90.00
_cell_angle_gamma 90.00
_space_group_name_H-M_alt 'P 4/m m m'
_space_group_IT_number 123
_space_group_name_Hall '-P 4 2'
loop_
_atom_site_label
_atom_site_fract_x
_atom_site_fract_y
_atom_site_fract_z
Zr1 0.000 0.000 0.000
Nb1 0.000 0.000 0.500
Cu1 0.500 0.500 0.000
P1 0.000 0.500 0.500


No. 12
# Pa2NbCu | the Alexandria database | PBE-GGA | relaxed
# E_form	0.221	eV per atom
# DFT total energy	-8.07	eV per atom
# relative energy among the computed polymorphs	0.013	eV/atom
# crystal system	tetragonal
data_Pa2NbCu
_cell_length_a 3.602
_cell_length_b 3.602
_cell_length_c 6.534
_cell_angle_alpha 90.00
_cell_angle_beta 90.00
_cell_angle_gamma 90.00
_space_group_name_H-M_alt 'P 4/m m m'
_space_group_IT_number 123
_space_group_name_Hall '-P 4 2'
loop_
_atom_site_label
_atom_site_fract_x
_atom_site_fract_y
_atom_site_fract_z
Pa1 0.000 0.000 0.233
Nb1 0.500 0.500 0.500
Cu1 0.500 0.500 0.000


No. 13
# Pa2NbCu | the Alexandria database | PBE-GGA | relaxed
# E_form	0.452	eV per atom
# DFT total energy	-7.84	eV per atom
# relative energy among the computed polymorphs	0.244	eV/atom
# crystal system	trigonal
data_Pa2NbCu
_cell_length_a 3.0129
_cell_length_b 3.0129
_cell_length_c 33.0910
_cell_angle_alpha 90.00
_cell_angle_beta 90.00
_cell_angle_gamma 120.00
_space_group_name_H-M_alt 'R -3 m'
_space_group_IT_number 166
_space_group_name_Hall '-R 3 2"'
loop_
_atom_site_label
_atom_site_fract_x
_atom_site_fract_y
_atom_site_fract_z
Pa1 0.0000 0.0000 0.0859
Nb1 0.0000 0.0000 0.5000
Cu1 0.0000 0.0000 0.0000